# 1
A plane-wave DFT calculation with PBE was carried out for ScHgB after structural relaxation.

Cell lengths 6.198, 6.198, 6.198 Å; angles 90.00, 90.00, 90.00 degrees
Sites, in units of the cell vectors:
Sc  0.000  0.000  0.000
Sc  0.000  0.500  0.500
Sc  0.500  0.000  0.500
Sc  0.500  0.500  0.000
Hg  0.250  0.250  0.750
Hg  0.250  0.750  0.250
Hg  0.750  0.250  0.250
Hg  0.750  0.750  0.750
B  0.250  0.250  0.250
B  0.250  0.750  0.750
B  0.750  0.250  0.750
B  0.750  0.750  0.250

Properties
ΔH_f (0 K) = 0.74 eV/atom
space-group type = No. 216
energy relative to the lowest polymorph listed for this composition = 1255 meV per atom


# 2
A plane-wave DFT calculation with PBE was carried out for Co2SiTc after structural relaxation.

Cell lengths 4.945, 8.418, 2.610 Å; angles 90.00, 115.15, 90.00 degrees
Sites, in units of the cell vectors:
Co  0.250  0.250  0.000
Co  0.250  0.750  0.000
Co  0.750  0.250  0.000
Co  0.750  0.750  0.000
Si  0.000  0.000  0.500
Si  0.500  0.500  0.500
Tc  0.000  0.500  0.500
Tc  0.500  0.000  0.500

Properties
space-group type = No. 12


# 3
A plane-wave DFT calculation with PBE was carried out for Zn2NiAu2 after structural relaxation.

Cell lengths 7.237, 7.237, 3.101 Å; angles 90.00, 90.00, 90.00 degrees
Sites, in units of the cell vectors:
Zn  0.158  0.342  0.000
Zn  0.342  0.842  0.000
Zn  0.658  0.158  0.000
Zn  0.842  0.658  0.000
Ni  0.000  0.000  0.500
Ni  0.500  0.500  0.500
Au  0.144  0.644  0.500
Au  0.356  0.144  0.500
Au  0.644  0.856  0.500
Au  0.856  0.356  0.500

Properties
ΔH_f (0 K) = 0.03 eV/atom
space-group type = No. 127
energy relative to the lowest polymorph listed for this composition = 164 meV per atom


# 4
A plane-wave DFT calculation with PBE was carried out for PuBiPd2 after structural relaxation.

Cell lengths 4.912, 6.893, 5.064 Å; angles 90.00, 90.00, 90.00 degrees
Sites, in units of the cell vectors:
Pu  0.250  0.250  0.214
Pu  0.750  0.750  0.786
Bi  0.250  0.750  0.225
Bi  0.750  0.250  0.775
Pd  0.250  0.004  0.690
Pd  0.250  0.496  0.690
Pd  0.750  0.504  0.310
Pd  0.750  0.996  0.310

Properties
ΔH_f (0 K) = -0.44 eV/atom
space-group type = No. 59
energy relative to the lowest polymorph listed for this composition = 0 meV per atom


| no. | density of states at the Fermi level (states/eV/cell) | E_tot (eV per cell) |
| --- | --- | --- |
| 1 | 10.03 | -44.331 |
| 2 | 9.31 | -60.053 |
| 3 | 6.69 | -29.433 |
| 4 | 27.98 | -60.683 |